Record 1
A plane-wave DFT calculation with PBE-GGA was carried out for a relaxed Y5HgRu2 crystal.

The structure belongs to space group I4/mcm (No. 140); the cell edges are 7.736, 7.736 and 13.470 Å and the angles 90.00°, 90.00° and 90.00°. Symmetry generates all atoms from Y at (0.000, 0.000, 0.000), Y at (0.160, 0.340, 0.135), Hg at (0.000, 0.000, 0.250) and Ru at (0.140, 0.360, 0.500).

The final energy is -217.50 eV/cell. Its formation energy is -400 meV per atom.


Record 2
A plane-wave DFT calculation with PBE-GGA was carried out for a relaxed Fe2AgMo crystal.

The structure belongs to space group C2/m (No. 12); the cell edges are 5.546, 7.515 and 2.714 Å and the angles 90.00°, 90.18° and 90.00°. Symmetry generates all atoms from Fe at (0.250, 0.250, 0.000), Ag at (0.000, 0.000, 0.500) and Mo at (0.000, 0.500, 0.500).

The final energy is -57.60 eV/cell. As for the energy above the most stable polymorph in this dataset: 0.172 eV per atom. Its formation energy is 452 meV per atom.


Record 3
A plane-wave DFT calculation with PBE-GGA was carried out for a relaxed TaInRu2 crystal.

The structure belongs to space group R3m (No. 160, hexagonal axes); the cell edges are 2.8922, 2.8922 and 27.7574 Å and the angles 90.00°, 90.00° and 120.00°. Symmetry generates all atoms from Ta at (0.0000, 0.0000, 0.0000), In at (0.0000, 0.0000, 0.7597), Ru at (0.0000, 0.0000, 0.2504) and Ru at (0.0000, 0.0000, 0.5105).

The final energy is -96.44 eV/cell. Its formation energy is 249 meV per atom.


Record 4
A plane-wave DFT calculation with PBE-GGA was carried out for a relaxed Pr10US16 crystal.

The structure belongs to space group P-4 (No. 81); the cell edges are 8.635, 8.635 and 8.634 Å and the angles 90.00°, 90.00° and 90.00°. Symmetry generates all atoms from Pr at (0.000, 0.500, 0.246), Pr at (0.132, 0.745, 0.620), Pr at (0.257, 0.380, 0.856), U at (0.000, 0.000, 0.000), S at (0.064, 0.683, 0.945), S at (0.075, 0.827, 0.297), S at (0.169, 0.422, 0.540) and S at (0.316, 0.420, 0.181).

The final energy is -178.35 eV/cell.